# GaReTe2N

An optimized crystal structure of GaReTe2N (PBE, Alexandria via LeMat-Bulk).

```
data_GaReTe2N
_cell_length_a 5.5122
_cell_length_b 5.5122
_cell_length_c 3.4827
_cell_angle_alpha 90.00
_cell_angle_beta 90.00
_cell_angle_gamma 90.00
_space_group_name_H-M_alt 'P 4/m m m'
_space_group_IT_number 123
_space_group_name_Hall '-P 4 2'
loop_
_atom_site_label
_atom_site_type_symbol
_atom_site_fract_x
_atom_site_fract_y
_atom_site_fract_z
_atom_site_occupancy
Ga1 Ga 0.0000 0.0000 0.0000 1
Re1 Re 0.5000 0.5000 0.5000 1
Te1 Te 0.0000 0.5000 0.0000 1
N1 N 0.0000 0.0000 0.5000 1
```

Offset from the most stable computed form ... 1087 meV per atom

# ZnGa2ReN

An optimized crystal structure of ZnGa2ReN (PBE, Alexandria via LeMat-Bulk).

```
data_ZnGa2ReN
_cell_length_a 4.8691
_cell_length_b 4.8691
_cell_length_c 4.9446
_cell_angle_alpha 90.00
_cell_angle_beta 90.00
_cell_angle_gamma 90.00
_space_group_name_H-M_alt 'P 4/m m m'
_space_group_IT_number 123
_space_group_name_Hall '-P 4 2'
loop_
_atom_site_label
_atom_site_type_symbol
_atom_site_fract_x
_atom_site_fract_y
_atom_site_fract_z
_atom_site_occupancy
Zn1 Zn 0.0000 0.0000 0.0000 1
Ga1 Ga 0.0000 0.5000 0.5000 1
Re1 Re 0.0000 0.0000 0.5000 1
N1 N 0.5000 0.5000 0.0000 1
```

# GaRhN3

An optimized crystal structure of GaRhN3 (PBE, Alexandria via LeMat-Bulk).

```
data_GaRhN3
_cell_length_a 3.8904
_cell_length_b 3.8904
_cell_length_c 3.8904
_cell_angle_alpha 90.00
_cell_angle_beta 90.00
_cell_angle_gamma 90.00
_space_group_name_H-M_alt 'P m -3 m'
_space_group_IT_number 221
_space_group_name_Hall '-P 4 2 3'
loop_
_atom_site_label
_atom_site_type_symbol
_atom_site_fract_x
_atom_site_fract_y
_atom_site_fract_z
_atom_site_occupancy
Ga1 Ga 0.0000 0.0000 0.0000 1
Rh1 Rh 0.5000 0.5000 0.5000 1
N1 N 0.0000 0.5000 0.5000 1
```

# GaRhN3

An optimized crystal structure of GaRhN3 (PBE, Alexandria via LeMat-Bulk).

```
data_GaRhN3
_cell_length_a 3.7946
_cell_length_b 3.7946
_cell_length_c 3.7946
_cell_angle_alpha 90.00
_cell_angle_beta 90.00
_cell_angle_gamma 90.00
_space_group_name_H-M_alt 'P m -3 m'
_space_group_IT_number 221
_space_group_name_Hall '-P 4 2 3'
loop_
_atom_site_label
_atom_site_type_symbol
_atom_site_fract_x
_atom_site_fract_y
_atom_site_fract_z
_atom_site_occupancy
Ga1 Ga 0.0000 0.0000 0.0000 1
Rh1 Rh 0.5000 0.5000 0.5000 1
N1 N 0.0000 0.0000 0.5000 1
```

# Ga2RhN

An optimized crystal structure of Ga2RhN (PBE, Alexandria via LeMat-Bulk).

```
data_Ga2RhN
_cell_length_a 5.6159
_cell_length_b 5.6159
_cell_length_c 7.5978
_cell_angle_alpha 90.00
_cell_angle_beta 90.00
_cell_angle_gamma 90.00
_space_group_name_H-M_alt 'I -4 2 d'
_space_group_IT_number 122
_space_group_name_Hall 'I -4 2bw'
loop_
_atom_site_label
_atom_site_type_symbol
_atom_site_fract_x
_atom_site_fract_y
_atom_site_fract_z
_atom_site_occupancy
Ga1 Ga 0.1779 0.2500 0.1250 1
Rh1 Rh 0.0000 0.0000 0.5000 1
N1 N 0.0000 0.0000 0.0000 1
```

# GaRhSeN2

An optimized crystal structure of GaRhSeN2 (PBE, Alexandria via LeMat-Bulk).

```
data_GaRhSeN2
_cell_length_a 3.7144
_cell_length_b 3.7144
_cell_length_c 5.6003
_cell_angle_alpha 90.00
_cell_angle_beta 90.00
_cell_angle_gamma 90.00
_space_group_name_H-M_alt 'P 4/m m m'
_space_group_IT_number 123
_space_group_name_Hall '-P 4 2'
loop_
_atom_site_label
_atom_site_type_symbol
_atom_site_fract_x
_atom_site_fract_y
_atom_site_fract_z
_atom_site_occupancy
Ga1 Ga 0.0000 0.0000 0.0000 1
Rh1 Rh 0.5000 0.5000 0.5000 1
Se1 Se 0.0000 0.0000 0.5000 1
N1 N 0.0000 0.5000 0.0000 1
```

Offset from the most stable computed form ... 480 meV per atom

# GaRhSeN2

An optimized crystal structure of GaRhSeN2 (PBE, Alexandria via LeMat-Bulk).

```
data_GaRhSeN2
_cell_length_a 3.8298
_cell_length_b 3.8298
_cell_length_c 5.4924
_cell_angle_alpha 90.00
_cell_angle_beta 90.00
_cell_angle_gamma 90.00
_space_group_name_H-M_alt 'P 4/m m m'
_space_group_IT_number 123
_space_group_name_Hall '-P 4 2'
loop_
_atom_site_label
_atom_site_type_symbol
_atom_site_fract_x
_atom_site_fract_y
_atom_site_fract_z
_atom_site_occupancy
Ga1 Ga 0.0000 0.0000 0.0000 1
Rh1 Rh 0.5000 0.5000 0.5000 1
Se1 Se 0.5000 0.5000 0.0000 1
N1 N 0.0000 0.5000 0.5000 1
```

Offset from the most stable computed form ... 0 meV per atom

# GaRhSe2N

An optimized crystal structure of GaRhSe2N (PBE, Alexandria via LeMat-Bulk).

```
data_GaRhSe2N
_cell_length_a 5.2045
_cell_length_b 5.2045
_cell_length_c 3.6291
_cell_angle_alpha 90.00
_cell_angle_beta 90.00
_cell_angle_gamma 90.00
_space_group_name_H-M_alt 'P 4/m m m'
_space_group_IT_number 123
_space_group_name_Hall '-P 4 2'
loop_
_atom_site_label
_atom_site_type_symbol
_atom_site_fract_x
_atom_site_fract_y
_atom_site_fract_z
_atom_site_occupancy
Ga1 Ga 0.0000 0.0000 0.0000 1
Rh1 Rh 0.5000 0.5000 0.5000 1
Se1 Se 0.0000 0.5000 0.5000 1
N1 N 0.5000 0.5000 0.0000 1
```

Offset from the most stable computed form ... 0 meV per atom

# GaRhSe2N

An optimized crystal structure of GaRhSe2N (PBE, Alexandria via LeMat-Bulk).

```
data_GaRhSe2N
_cell_length_a 5.0799
_cell_length_b 5.0799
_cell_length_c 3.5513
_cell_angle_alpha 90.00
_cell_angle_beta 90.00
_cell_angle_gamma 90.00
_space_group_name_H-M_alt 'P 4/m m m'
_space_group_IT_number 123
_space_group_name_Hall '-P 4 2'
loop_
_atom_site_label
_atom_site_type_symbol
_atom_site_fract_x
_atom_site_fract_y
_atom_site_fract_z
_atom_site_occupancy
Ga1 Ga 0.0000 0.0000 0.0000 1
Rh1 Rh 0.5000 0.5000 0.5000 1
Se1 Se 0.0000 0.5000 0.0000 1
N1 N 0.0000 0.0000 0.5000 1
```

Offset from the most stable computed form ... 577 meV per atom

# GaTcRhN2

An optimized crystal structure of GaTcRhN2 (PBE, Alexandria via LeMat-Bulk).

```
data_GaTcRhN2
_cell_length_a 3.7527
_cell_length_b 3.7527
_cell_length_c 5.6356
_cell_angle_alpha 90.00
_cell_angle_beta 90.00
_cell_angle_gamma 90.00
_space_group_name_H-M_alt 'P 4/m m m'
_space_group_IT_number 123
_space_group_name_Hall '-P 4 2'
loop_
_atom_site_label
_atom_site_type_symbol
_atom_site_fract_x
_atom_site_fract_y
_atom_site_fract_z
_atom_site_occupancy
Ga1 Ga 0.0000 0.0000 0.0000 1
Tc1 Tc 0.5000 0.5000 0.0000 1
Rh1 Rh 0.0000 0.0000 0.5000 1
N1 N 0.0000 0.5000 0.5000 1
```

# Ga2RhWN

An optimized crystal structure of Ga2RhWN (PBE, Alexandria via LeMat-Bulk).

```
data_Ga2RhWN
_cell_length_a 4.9585
_cell_length_b 4.9585
_cell_length_c 3.5935
_cell_angle_alpha 90.00
_cell_angle_beta 90.00
_cell_angle_gamma 90.00
_space_group_name_H-M_alt 'P 4/m m m'
_space_group_IT_number 123
_space_group_name_Hall '-P 4 2'
loop_
_atom_site_label
_atom_site_type_symbol
_atom_site_fract_x
_atom_site_fract_y
_atom_site_fract_z
_atom_site_occupancy
Ga1 Ga 0.0000 0.5000 0.0000 1
Rh1 Rh 0.0000 0.0000 0.0000 1
W1 W 0.5000 0.5000 0.5000 1
N1 N 0.0000 0.0000 0.5000 1
```

# ZnGa2RhN

An optimized crystal structure of ZnGa2RhN (PBE, Alexandria via LeMat-Bulk).

```
data_ZnGa2RhN
_cell_length_a 5.0972
_cell_length_b 5.0972
_cell_length_c 3.6830
_cell_angle_alpha 90.00
_cell_angle_beta 90.00
_cell_angle_gamma 90.00
_space_group_name_H-M_alt 'P 4/m m m'
_space_group_IT_number 123
_space_group_name_Hall '-P 4 2'
loop_
_atom_site_label
_atom_site_type_symbol
_atom_site_fract_x
_atom_site_fract_y
_atom_site_fract_z
_atom_site_occupancy
Zn1 Zn 0.0000 0.0000 0.0000 1
Ga1 Ga 0.0000 0.5000 0.5000 1
Rh1 Rh 0.5000 0.5000 0.5000 1
N1 N 0.5000 0.5000 0.0000 1
```

Offset from the most stable computed form ... 105 meV per atom

# ZnGa2RhN

An optimized crystal structure of ZnGa2RhN (PBE, Alexandria via LeMat-Bulk).

```
data_ZnGa2RhN
_cell_length_a 4.2656
_cell_length_b 4.2656
_cell_length_c 3.8428
_cell_angle_alpha 90.00
_cell_angle_beta 90.00
_cell_angle_gamma 90.00
_space_group_name_H-M_alt 'P 4/m m m'
_space_group_IT_number 123
_space_group_name_Hall '-P 4 2'
loop_
_atom_site_label
_atom_site_type_symbol
_atom_site_fract_x
_atom_site_fract_y
_atom_site_fract_z
_atom_site_occupancy
Zn1 Zn 0.0000 0.0000 0.0000 1
Ga1 Ga 0.0000 0.5000 0.5000 1
Rh1 Rh 0.5000 0.5000 0.0000 1
N1 N 0.0000 0.0000 0.5000 1
```

Offset from the most stable computed form ... 0 meV per atom

# GaRuN3

An optimized crystal structure of GaRuN3 (PBE, Alexandria via LeMat-Bulk).

```
data_GaRuN3
_cell_length_a 3.7590
_cell_length_b 3.7590
_cell_length_c 3.7590
_cell_angle_alpha 90.00
_cell_angle_beta 90.00
_cell_angle_gamma 90.00
_space_group_name_H-M_alt 'P m -3 m'
_space_group_IT_number 221
_space_group_name_Hall '-P 4 2 3'
loop_
_atom_site_label
_atom_site_type_symbol
_atom_site_fract_x
_atom_site_fract_y
_atom_site_fract_z
_atom_site_occupancy
Ga1 Ga 0.0000 0.0000 0.0000 1
Ru1 Ru 0.5000 0.5000 0.5000 1
N1 N 0.0000 0.0000 0.5000 1
```

Number 1: M_tot 3.193 μB per cell, formation energy without anion corrections 1.36 eV/atom, DFT total energy -4.66 eV per atom. Number 2: M_tot 3.368 μB per cell, formation energy without anion corrections 1.47 eV/atom, DFT total energy -4.15 eV per atom. Number 3: M_tot 0.000 μB per cell, formation energy without anion corrections 1.55 eV/atom, DFT total energy -5.52 eV per atom. Number 4: M_tot 0.000 μB per cell, formation energy without anion corrections 1.86 eV/atom, DFT total energy -5.21 eV per atom. Number 5: M_tot 0.000 μB per cell, formation energy without anion corrections 0.02 eV/atom, DFT total energy -5.41 eV per atom. Number 6: M_tot 3.320 μB per cell, formation energy without anion corrections 1.38 eV/atom, DFT total energy -4.72 eV per atom. Number 7: M_tot 0.351 μB per cell, formation energy without anion corrections 0.90 eV/atom, DFT total energy -5.20 eV per atom. Number 8: M_tot 0.000 μB per cell, formation energy without anion corrections 0.33 eV/atom, DFT total energy -4.80 eV per atom. Number 9: M_tot 1.393 μB per cell, formation energy without anion corrections 0.91 eV/atom, DFT total energy -4.22 eV per atom. Number 10: M_tot 2.822 μB per cell, formation energy without anion corrections 1.41 eV/atom, DFT total energy -6.07 eV per atom. Number 11: M_tot 2.697 μB per cell, formation energy without anion corrections 1.16 eV/atom, DFT total energy -5.77 eV per atom. Number 12: M_tot 0.000 μB per cell, formation energy without anion corrections 0.38 eV/atom, DFT total energy -4.22 eV per atom. Number 13: M_tot 0.000 μB per cell, formation energy without anion corrections 0.27 eV/atom, DFT total energy -4.33 eV per atom. Number 14: M_tot 0.516 μB per cell, formation energy without anion corrections 1.93 eV/atom, DFT total energy -5.52 eV per atom.